1.
DFT (PBE) results for crystalline CrIn2Fe at its relaxed geometry.

- Formation enthalpy at 0 K: 1.036 eV per atom

Lattice parameters (Å, degrees): 7.1983 7.1983 5.7879 51.55 51.55 90.00
Last column: magnetic moment on the atom in μB.
Element x y z (fractional)
Cr 0.5000 0.5000 0.0000  0.08
Cr 0.2500 0.7500 0.5000  0.08
Fe 0.0000 0.0000 0.0000  0.00
Fe 0.7500 0.2500 0.5000  0.00
In 0.6397 0.1250 0.2500  0.00
In 0.1103 0.6250 0.2500  0.00
In 0.3750 0.3603 0.7500  0.00
In 0.8750 0.8897 0.7500  0.00

---

2.
DFT (PBE) results for crystalline Cr2InFe at its relaxed geometry.

- Formation enthalpy at 0 K: 0.387 eV per atom

Lattice parameters (Å, degrees): 4.8241 4.8241 4.3091 70.97 70.97 36.55
Last column: magnetic moment on the atom in μB.
Element x y z (fractional)
Cr 0.9838 0.9838 0.0679  -0.05
Cr 0.5162 0.5162 0.4321  -0.05
Fe 0.2500 0.2500 0.2500  1.80
In 0.7500 0.7500 0.7500  -0.03